Record 1
An optimized crystal structure of PrNdIrPd. Source: Alexandria via LeMat-Bulk, functional GGA-PBE.

Cell: 5.079 5.079 5.079 Å, 60.00 60.00 60.00°
Fractional positions:
Pr: 0.750 0.750 0.750
Nd: 0.250 0.250 0.250
Pd: 0.500 0.500 0.500
Ir: 0.000 0.000 0.000

Summary:
**Space-group type**: F-43m, No. 216
**ΔE_f**: -674.5 meV per atom
**Energy above the lowest structure with this stoichiometry**: 4.0 kJ per mole of atoms
**E_tot**: -26.3 eV per formula unit

Record 2
An optimized crystal structure of Rb4Pa3GaO12. Source: Alexandria via LeMat-Bulk, functional GGA-PBE.

Cell: 7.517 7.517 7.517 Å, 109.47 109.47 109.47°
Fractional positions:
O: 0.750 0.500 0.250
O: 0.500 0.750 0.250
O: 0.500 0.250 0.750
Ga: 0.000 0.000 0.000
O: 0.750 0.250 0.500
Rb: 0.500 0.000 0.000
Pa: 0.500 0.000 0.500
O: 0.250 0.500 0.750
Rb: 0.000 0.500 0.000
O: 0.245 0.245 0.000
O: 0.755 0.755 0.000
O: 0.245 0.000 0.245
O: 0.000 0.245 0.245
Rb: 0.500 0.500 0.500
O: 0.250 0.750 0.500
Rb: 0.000 0.000 0.500
Pa: 0.000 0.500 0.500
O: 0.000 0.755 0.755
Pa: 0.500 0.500 0.000
O: 0.755 0.000 0.755

Summary:
**Space-group type**: Im-3m, No. 229
**E_tot**: -145.7 eV per formula unit

Record 3
An optimized crystal structure of SrTePb2. Source: Alexandria via LeMat-Bulk, functional GGA-PBE.

Cell: 4.508 4.518 7.157 Å, 90.00 90.00 90.00°
Fractional positions:
Pb: 0.000 0.000 0.068
Sr: 0.000 0.000 0.568
Te: 0.500 0.500 0.650
Pb: 0.500 0.500 0.213

Summary:
**Space-group type**: P4mm, No. 99
**E_tot**: -14.6 eV per formula unit

Question: What is the formula in the first record?
Answer: PrNdIrPd

Question: Among the records above, which one has the lowest E_tot?
Answer: Rb4Pa3GaO12